This record from Alexandria describes an optimized crystal structure of SrLaCrO4. The functional is GGA+U.

Computed properties:
D(E_F) in states/eV/cell: 0.0
Uncorrected energy in eV/atom: -7.62
M_tot in μB per cell: 6.000

```
data_SrLaCrO4
_chemical_formula_sum 'Sr2 La2 Cr2 O8'
_space_group_name_H-M_alt 'I 4 m m'
_space_group_IT_number 107
_space_group_name_Hall 'I 4 -2'
_cell_length_a 3.9317
_cell_length_b 3.9317
_cell_length_c 12.4670
_cell_angle_alpha 90.00
_cell_angle_beta 90.00
_cell_angle_gamma 90.00
loop_
_atom_site_label
_atom_site_type_symbol
_atom_site_fract_x
_atom_site_fract_y
_atom_site_fract_z
_atom_site_occupancy
Sr1 Sr 0.0000 0.0000 0.0000 1
La1 La 0.0000 0.0000 0.7171 1
Cr1 Cr 0.0000 0.0000 0.3611 1
O1 O 0.0000 0.0000 0.1941 1
O2 O 0.0000 0.0000 0.5283 1
O3 O 0.0000 0.5000 0.3516 1
```